[1]
The following is a DFT calculation (PBE) of an optimized crystal structure of NdCuRu.

Cell and atoms, written as extended XYZ:
```
3
Lattice="3.4574 0.0000 0.0000 0.0000 3.4574 0.0000 -1.7287 -1.7287 4.7978" Properties=species:S:1:pos:R:3 pbc="T T T"
Nd 1.7287 1.7287 4.2797
Cu 1.7287 1.7287 1.4619
Ru 0.0000 0.0000 2.4147
```

Summary:
Size of the total moment, μB per formula unit: 0.00
Formation energy, kcal/mol of atoms: 1.673
Total DFT energy (no corrections), eV per atom: -5.9740

---

[2]
The following is a DFT calculation (PBE) of an optimized crystal structure of HgSeN2.

Cell and atoms, written as extended XYZ:
```
4
Lattice="1.2029 -6.3961 0.6325 -0.0341 -6.0636 -2.4472 3.1819 -5.4008 -1.8611" Properties=species:S:1:pos:R:3 pbc="T T T"
N 3.8687 -15.8820 -3.2686
N 0.4820 -1.9786 -0.4072
Se 2.1753 -8.9303 -1.8379
Hg 0.0000 0.0000 0.0000
```

Summary:
Size of the total moment, μB per formula unit: 0.00
Total DFT energy (no corrections), eV per atom: -3.8913
Uncorrected formation energy, eV per atom: 1.218

---

[3]
The following is a DFT calculation (PBE) of an optimized crystal structure of Li2ScBi.

Cell and atoms, written as extended XYZ:
```
8
Lattice="4.2149 0.0000 0.0000 0.0000 4.2149 0.0000 2.1075 2.1075 10.8618" Properties=species:S:1:pos:R:3 pbc="T T T"
Sc 2.1075 4.2149 5.4309
Bi 0.0000 0.0000 0.0000
Li 0.9659 3.1612 2.7155
Sc 2.1075 2.1075 0.0000
Li 5.2686 5.3565 8.1464
Li 3.2491 1.0537 2.7155
Bi 4.2149 2.1075 5.4309
Li 3.1612 3.0733 8.1464
```

Summary:
Size of the total moment, μB per formula unit: 0.56
Formation energy, kcal/mol of atoms: -4.313
Total DFT energy (no corrections), eV per atom: -3.6971

---

[4]
The following is a DFT calculation (PBE) of an optimized crystal structure of Ag3SnS.

Cell and atoms, written as extended XYZ:
```
5
Lattice="4.9045 0.0000 0.0000 0.0000 4.9045 0.0000 0.0000 0.0000 4.9045" Properties=species:S:1:pos:R:3 pbc="T T T"
Ag 0.0000 2.4522 0.0000
Ag 0.0000 0.0000 2.4522
Sn 2.4522 2.4522 2.4522
S 0.0000 0.0000 0.0000
Ag 2.4522 0.0000 0.0000
```

Summary:
Size of the total moment, μB per formula unit: 0.00
Total DFT energy (no corrections), eV per atom: -3.0101
Uncorrected formation energy, eV per atom: 0.327

---

[5]
The following is a DFT calculation (PBE) of an optimized crystal structure of LiB2C2.

Cell and atoms, written as extended XYZ:
```
20
Lattice="4.6942 0.0000 -0.0145 0.0000 5.4103 0.0000 -0.0220 0.0000 7.3506" Properties=species:S:1:pos:R:3 pbc="T T T"
Li -0.0110 2.7052 3.6753
C 3.1419 2.7052 5.3710
C 1.5337 0.0000 1.8889
B 3.1060 2.7052 1.8424
B 3.1087 0.0000 1.8497
B 1.5635 0.0000 5.4865
Li 2.3361 1.3104 3.6681
Li 2.3361 4.0999 3.6681
B 3.9126 4.0583 5.4337
C 0.7931 1.3532 5.4639
C 0.7931 4.0571 5.4639
B 0.7595 1.3520 1.9025
B 0.7595 4.0583 1.9025
C 1.5303 2.7052 1.9652
C 3.8791 1.3532 1.8723
C 3.8791 4.0571 1.8723
B 1.5661 2.7052 5.4937
B 3.9126 1.3520 5.4337
Li 0.0000 0.0000 0.0000
C 3.1384 0.0000 5.4473
```

Summary:
Size of the total moment, μB per formula unit: 0.00
Formation energy, kcal/mol of atoms: -0.471
Total DFT energy (no corrections), eV per atom: -6.7637

---

[6]
The following is a DFT calculation (PBE) of an optimized crystal structure of TbCu4Ni8.

Cell and atoms, written as extended XYZ:
```
13
Lattice="4.7099 0.0000 0.0000 2.3550 5.8705 0.0000 2.3550 0.0000 5.8705" Properties=species:S:1:pos:R:3 pbc="T T T"
Tb 0.0000 0.0000 0.0000
Ni 4.7099 2.0997 2.0997
Ni 2.3550 3.7708 2.0997
Ni 7.0649 4.5597 4.5597
Cu 1.1775 0.0000 2.9352
Ni 4.7099 4.5597 1.3108
Cu 3.5325 0.0000 2.9352
Ni 4.7099 1.3108 4.5597
Ni 2.3550 2.0997 3.7708
Ni 4.7099 3.7708 3.7708
Ni 2.3550 1.3108 1.3108
Cu 1.1775 2.9352 0.0000
Cu 3.5325 2.9352 0.0000
```

Summary:
Size of the total moment, μB per formula unit: 1.74
Formation energy, kcal/mol of atoms: -1.572
Total DFT energy (no corrections), eV per atom: -5.2424

---

[7]
The following is a DFT calculation (PBE) of an optimized crystal structure of TiGeNO2.

Cell and atoms, written as extended XYZ:
```
5
Lattice="-2.6966 1.0761 2.2611 -2.4937 -0.8522 -2.5685 -0.2353 -3.5330 1.4007" Properties=species:S:1:pos:R:3 pbc="T T T"
N -0.1177 -1.7665 0.7004
O -1.2469 -0.4261 -1.2843
Ge 0.0000 0.0000 0.0000
Ti -2.7128 -1.6546 0.5466
O -1.3483 0.5380 1.1305
```

Summary:
Size of the total moment, μB per formula unit: 0.99
Total DFT energy (no corrections), eV per atom: -6.8897
Uncorrected formation energy, eV per atom: -0.739

---

[8]
The following is a DFT calculation (PBE) of an optimized crystal structure of Er3Tm2In3.

Cell and atoms, written as extended XYZ:
```
8
Lattice="4.3538 0.0000 0.0000 0.0000 4.8802 0.0000 -2.1769 -2.4401 10.1476" Properties=species:S:1:pos:R:3 pbc="T T T"
Er 2.1769 0.0000 0.0000
Er 2.1769 2.4401 2.4290
Er 0.0000 0.0000 7.7186
Tm 0.0000 2.4401 5.2885
Tm 2.1769 0.0000 4.8591
In 0.0000 0.0000 2.5465
In 0.0000 2.4401 0.0000
In 2.1769 2.4401 7.6011
```

Summary:
Size of the total moment, μB per formula unit: 0.00
Formation energy, kcal/mol of atoms: -7.815
Total DFT energy (no corrections), eV per atom: -4.1948